Record 1
VASP calculation (SCAN) on ScTcBC2 at its PBEsol-relaxed geometry.

CIF file:
```
data_ScTcBC2
_cell_length_a 3.925
_cell_length_b 3.925
_cell_length_c 4.002
_cell_angle_alpha 90.00
_cell_angle_beta 90.00
_cell_angle_gamma 90.00
_space_group_name_H-M_alt 'P 1'
_space_group_IT_number 1
loop_
_space_group_symop_operation_xyz
'x,y,z'
loop_
_atom_site_label
_atom_site_type_symbol
_atom_site_fract_x
_atom_site_fract_y
_atom_site_fract_z
_atom_site_occupancy
Sc1 Sc 0.000 0.000 0.000 1
Tc1 Tc 0.500 0.500 0.500 1
B1 B 0.500 0.500 0.000 1
C1 C 0.000 0.500 0.500 1
C2 C 0.500 0.000 0.500 1
```

V in Å³/f.u.: 61.6
DOS(E_F) in states/eV/atom: 0.56
SG: P4/mmm (123)
Spin magnetization in μB per formula unit: 0.0
Energy of formation in eV/atom: 0.87


Record 2
VASP calculation (SCAN) on YSn3Bi at its PBEsol-relaxed geometry.

CIF file:
```
data_YSn3Bi
_cell_length_a 5.648
_cell_length_b 5.648
_cell_length_c 5.648
_cell_angle_alpha 90.00
_cell_angle_beta 90.00
_cell_angle_gamma 90.00
_space_group_name_H-M_alt 'P 1'
_space_group_IT_number 1
loop_
_space_group_symop_operation_xyz
'x,y,z'
loop_
_atom_site_label
_atom_site_type_symbol
_atom_site_fract_x
_atom_site_fract_y
_atom_site_fract_z
_atom_site_occupancy
Y1 Y 0.000 0.000 0.000 1
Sn1 Sn 0.000 0.000 0.500 1
Sn2 Sn 0.000 0.500 0.000 1
Sn3 Sn 0.500 0.000 0.000 1
Bi1 Bi 0.500 0.500 0.500 1
```

V in Å³/f.u.: 180.1
DOS(E_F) in states/eV/atom: 0.86
SG: Pm-3m (221)
Spin magnetization in μB per formula unit: 0.0
Energy of formation in eV/atom: 0.60


Record 3
VASP calculation (SCAN) on BaTa at its PBEsol-relaxed geometry.

CIF file:
```
data_BaTa
_cell_length_a 6.790
_cell_length_b 6.790
_cell_length_c 6.063
_cell_angle_alpha 116.46
_cell_angle_beta 116.46
_cell_angle_gamma 29.10
_space_group_name_H-M_alt 'P 1'
_space_group_IT_number 1
loop_
_space_group_symop_operation_xyz
'x,y,z'
loop_
_atom_site_label
_atom_site_type_symbol
_atom_site_fract_x
_atom_site_fract_y
_atom_site_fract_z
_atom_site_occupancy
Ba1 Ba 0.101 0.101 0.351 1
Ba2 Ba 0.899 0.899 0.649 1
Ta1 Ta 0.331 0.331 0.081 1
Ta2 Ta 0.669 0.669 0.919 1
```

V in Å³/f.u.: 60.3
DOS(E_F) in states/eV/atom: 0.83
Energy relative to the lowest polymorph listed for this composition in eV/atom: 0.0569
SG: C2/m (12)
Spin magnetization in μB per formula unit: 0.0
Energy of formation in eV/atom: 1.01


Record 4
VASP calculation (SCAN) on KHgAu at its PBEsol-relaxed geometry.

CIF file:
```
data_KHgAu
_cell_length_a 6.305
_cell_length_b 6.305
_cell_length_c 6.305
_cell_angle_alpha 145.48
_cell_angle_beta 145.48
_cell_angle_gamma 49.62
_space_group_name_H-M_alt 'P 1'
_space_group_IT_number 1
loop_
_space_group_symop_operation_xyz
'x,y,z'
loop_
_atom_site_label
_atom_site_type_symbol
_atom_site_fract_x
_atom_site_fract_y
_atom_site_fract_z
_atom_site_occupancy
K1 K 0.000 0.000 0.000 1
Hg1 Hg 0.704 0.704 0.000 1
Au1 Au 0.305 0.305 0.000 1
```

V in Å³/f.u.: 80.1
DOS(E_F) in states/eV/atom: 0.05
Energy relative to the lowest polymorph listed for this composition in eV/atom: 0.0453
SG: I4mm (107)
Spin magnetization in μB per formula unit: 0.0
Energy of formation in eV/atom: -0.31


Record 5
VASP calculation (SCAN) on TcNi2Au at its PBEsol-relaxed geometry.

CIF file:
```
data_TcNi2Au
_cell_length_a 4.425
_cell_length_b 4.425
_cell_length_c 4.425
_cell_angle_alpha 128.82
_cell_angle_beta 128.82
_cell_angle_gamma 75.30
_space_group_name_H-M_alt 'P 1'
_space_group_IT_number 1
loop_
_space_group_symop_operation_xyz
'x,y,z'
loop_
_atom_site_label
_atom_site_type_symbol
_atom_site_fract_x
_atom_site_fract_y
_atom_site_fract_z
_atom_site_occupancy
Tc1 Tc 0.000 0.000 0.000 1
Ni1 Ni 0.250 0.750 0.500 1
Ni2 Ni 0.750 0.250 0.500 1
Au1 Au 0.500 0.500 0.000 1
```

V in Å³/f.u.: 51.2
DOS(E_F) in states/eV/atom: 1.15
Energy relative to the lowest polymorph listed for this composition in eV/atom: 0.1650
SG: I4/mmm (139)
Spin magnetization in μB per formula unit: 0.0
Energy of formation in eV/atom: 0.22


Record 6
VASP calculation (SCAN) on NaNb3O8 at its PBEsol-relaxed geometry.

CIF file:
```
data_NaNb3O8
_cell_length_a 7.290
_cell_length_b 7.290
_cell_length_c 7.290
_cell_angle_alpha 119.49
_cell_angle_beta 88.73
_cell_angle_gamma 122.01
_space_group_name_H-M_alt 'P 1'
_space_group_IT_number 1
loop_
_space_group_symop_operation_xyz
'x,y,z'
loop_
_atom_site_label
_atom_site_type_symbol
_atom_site_fract_x
_atom_site_fract_y
_atom_site_fract_z
_atom_site_occupancy
Na1 Na 0.250 0.250 0.000 1
Na2 Na 0.750 0.750 0.000 1
Nb1 Nb 0.235 0.749 0.984 1
Nb2 Nb 0.250 0.750 0.500 1
Nb3 Nb 0.265 0.249 0.514 1
Nb4 Nb 0.735 0.751 0.486 1
Nb5 Nb 0.750 0.250 0.500 1
Nb6 Nb 0.765 0.251 0.016 1
O1 O 0.062 0.900 0.556 1
O2 O 0.073 0.611 0.683 1
O3 O 0.156 0.600 0.163 1
O4 O 0.169 0.987 0.156 1
O5 O 0.331 0.487 0.818 1
O6 O 0.344 0.506 0.444 1
O7 O 0.427 0.111 0.538 1
O8 O 0.438 0.994 0.837 1
O9 O 0.562 0.006 0.163 1
O10 O 0.573 0.889 0.462 1
O11 O 0.656 0.494 0.556 1
O12 O 0.669 0.513 0.182 1
O13 O 0.831 0.013 0.844 1
O14 O 0.844 0.400 0.837 1
O15 O 0.927 0.389 0.317 1
O16 O 0.938 0.100 0.444 1
```

V in Å³/f.u.: 135.3
DOS(E_F) in states/eV/atom: 0.00
Energy relative to the lowest polymorph listed for this composition in eV/atom: 0.0000
Raw formation energy in meV per atom: -2707.6
SG: Ibam (72)
Spin magnetization in μB per formula unit: 0.0


Record 7
VASP calculation (SCAN) on Sc4SiPb at its PBEsol-relaxed geometry.

CIF file:
```
data_Sc4SiPb
_cell_length_a 5.691
_cell_length_b 5.691
_cell_length_c 5.691
_cell_angle_alpha 60.00
_cell_angle_beta 60.00
_cell_angle_gamma 60.00
_space_group_name_H-M_alt 'P 1'
_space_group_IT_number 1
loop_
_space_group_symop_operation_xyz
'x,y,z'
loop_
_atom_site_label
_atom_site_type_symbol
_atom_site_fract_x
_atom_site_fract_y
_atom_site_fract_z
_atom_site_occupancy
Sc1 Sc 0.376 0.376 0.376 1
Sc2 Sc 0.376 0.376 0.873 1
Sc3 Sc 0.376 0.873 0.376 1
Sc4 Sc 0.873 0.376 0.376 1
Si1 Si 0.750 0.750 0.750 1
Pb1 Pb 0.000 0.000 0.000 1
```

V in Å³/f.u.: 130.4
DOS(E_F) in states/eV/atom: 0.85
Raw formation energy in meV per atom: 179.2
SG: F-43m (216)
Spin magnetization in μB per formula unit: 1.1


Record 8
VASP calculation (SCAN) on IrPt2 at its PBEsol-relaxed geometry.

CIF file:
```
data_IrPt2
_cell_length_a 5.499
_cell_length_b 3.893
_cell_length_c 8.224
_cell_angle_alpha 90.00
_cell_angle_beta 90.00
_cell_angle_gamma 90.00
_space_group_name_H-M_alt 'P 1'
_space_group_IT_number 1
loop_
_space_group_symop_operation_xyz
'x,y,z'
loop_
_atom_site_label
_atom_site_type_symbol
_atom_site_fract_x
_atom_site_fract_y
_atom_site_fract_z
_atom_site_occupancy
Ir1 Ir 0.123 0.250 0.079 1
Ir2 Ir 0.377 0.750 0.579 1
Ir3 Ir 0.623 0.250 0.421 1
Ir4 Ir 0.877 0.750 0.921 1
Pt1 Pt 0.121 0.250 0.750 1
Pt2 Pt 0.128 0.250 0.416 1
Pt3 Pt 0.372 0.750 0.916 1
Pt4 Pt 0.379 0.750 0.250 1
Pt5 Pt 0.621 0.250 0.750 1
Pt6 Pt 0.628 0.250 0.084 1
Pt7 Pt 0.872 0.750 0.584 1
Pt8 Pt 0.879 0.750 0.250 1
```

V in Å³/f.u.: 44.0
DOS(E_F) in states/eV/atom: 1.25
Energy relative to the lowest polymorph listed for this composition in eV/atom: 0.0278
SG: Pnma (62)
Spin magnetization in μB per formula unit: 0.0
Energy of formation in eV/atom: 0.12


Question: Among the records above, which one has the highest DOS(E_F)?
Answer: IrPt2


Please write out number 1 again, unchanged.
VASP calculation (SCAN) on ScTcBC2 at its PBEsol-relaxed geometry.

CIF file:
```
data_ScTcBC2
_cell_length_a 3.925
_cell_length_b 3.925
_cell_length_c 4.002
_cell_angle_alpha 90.00
_cell_angle_beta 90.00
_cell_angle_gamma 90.00
_space_group_name_H-M_alt 'P 1'
_space_group_IT_number 1
loop_
_space_group_symop_operation_xyz
'x,y,z'
loop_
_atom_site_label
_atom_site_type_symbol
_atom_site_fract_x
_atom_site_fract_y
_atom_site_fract_z
_atom_site_occupancy
Sc1 Sc 0.000 0.000 0.000 1
Tc1 Tc 0.500 0.500 0.500 1
B1 B 0.500 0.500 0.000 1
C1 C 0.000 0.500 0.500 1
C2 C 0.500 0.000 0.500 1
```

V in Å³/f.u.: 61.6
DOS(E_F) in states/eV/atom: 0.56
SG: P4/mmm (123)
Spin magnetization in μB per formula unit: 0.0
Energy of formation in eV/atom: 0.87